Er3TmTl2N2: relaxed, PBE.

The space group is P3m1 (No. 156) and the conventional cell measures 3.4894, 3.4894 and 15.5610 Å, with angles of 90.00, 90.00 and 120.00 degrees. Symmetry generates all atoms from Er at (0.0000, 0.0000, 0.0000), Er at (0.0000, 0.0000, 0.3323), Er at (0.3333, 0.6667, 0.5003), Tm at (0.3333, 0.6667, 0.8325), Tl at (0.0000, 0.0000, 0.6668), Tl at (0.3333, 0.6667, 0.1660), N at (0.6667, 0.3333, 0.4163) and N at (0.6667, 0.3333, 0.9151).

The total energy comes out at -5.97 eV per atom. The total moment is 0.01 μB per formula unit.